This record from Alexandria describes an optimized crystal structure of La3MoF. The functional is GGA+U.

Unit cell a=5.066 b=5.066 c=5.066 alpha=90.00 beta=90.00 gamma=90.00
Element x y z (fractional)
F 0.000 0.000 0.000
La 0.000 0.000 0.500
La 0.500 0.000 0.000
La 0.000 0.500 0.000
Mo 0.500 0.500 0.500

The value obtained for the energy above the lowest structure with this stoichiometry is 0.0000 eV/atom. For the final energy, the calculation gives -5.096 eV per atom. The symmetry is No. 221.